# 1
# Ho8SbTe4P3

Ho8SbTe4P3 after structural relaxation (GGA-PBE, Alexandria).

a b c (Å): 8.535 8.535 8.535
angles (deg): 58.48 58.48 58.48
Atoms (fractional coordinates):
Ho  0.221  0.748  0.748
Ho  0.236  0.236  0.236
Ho  0.252  0.252  0.779
Ho  0.252  0.779  0.252
Ho  0.748  0.221  0.748
Ho  0.748  0.748  0.221
Ho  0.764  0.764  0.764
Ho  0.779  0.252  0.252
Sb  0.500  0.500  0.500
Te  0.000  0.000  0.000
Te  0.000  0.500  0.500
Te  0.500  0.000  0.500
Te  0.500  0.500  0.000
P  0.000  0.000  0.500
P  0.000  0.500  0.000
P  0.500  0.000  0.000

Properties
* SG: No. 166
* N(E_F): 5.616 states/eV/cell
* crystal system: trigonal
* total magnetic moment: 0.00 μB per cell
* E: -92.642 eV/cell
* raw formation energy: -1.444 eV per atom

---

# 2
# Ho2ScP

Ho2ScP after structural relaxation (GGA-PBE, Alexandria).

a b c (Å): 9.899 9.899 9.899
angles (deg): 21.41 21.41 21.41
Atoms (fractional coordinates):
Ho  0.110  0.110  0.110
Ho  0.890  0.890  0.890
Sc  0.000  0.000  0.000
P  0.500  0.500  0.500

Properties
* SG: No. 166
* N(E_F): 5.079 states/eV/cell
* E_form: -1.64 eV per formula unit
* crystal system: trigonal
* total magnetic moment: 0.40 μB per cell
* E: -22.535 eV/cell

---

# 3
# Ho3ScP4

Ho3ScP4 after structural relaxation (GGA-PBE, Alexandria).

a b c (Å): 6.809 7.874 6.812
angles (deg): 90.00 109.52 90.00
Atoms (fractional coordinates):
Ho  0.000  0.124  0.250
Ho  0.000  0.373  0.750
Ho  0.000  0.627  0.250
Ho  0.000  0.876  0.750
Ho  0.500  0.374  0.250
Ho  0.500  0.626  0.750
Sc  0.500  0.124  0.750
Sc  0.500  0.876  0.250
P  0.254  0.370  0.505
P  0.254  0.630  0.005
P  0.259  0.120  0.000
P  0.259  0.880  0.500
P  0.741  0.120  0.500
P  0.741  0.880  0.000
P  0.746  0.370  0.995
P  0.746  0.630  0.495

Properties
* SG: No. 13
* N(E_F): 1.410 states/eV/cell
* E_form: -12.55 eV per formula unit
* crystal system: monoclinic
* total magnetic moment: 0.00 μB per cell
* E: -108.508 eV/cell